Record 1
A relaxed structure of RbNa2YCd. Source: Alexandria, functional GGA-PBEsol.

The structure belongs to space group P4/mmm (No. 123); the cell edges are 5.993, 5.993 and 5.793 Å and the angles 90.00°, 90.00° and 90.00°. The distinct sites, in fractional coordinates, are Rb at (0.000, 0.000, 0.000), Na at (0.000, 0.500, 0.500), Y at (0.500, 0.500, 0.000) and Cd at (0.500, 0.500, 0.500).

The density of states at the Fermi level comes out at 0.93 states/eV per atom. The formation enthalpy at 0 K is 0.30 eV per atom.

=====

Record 2
A relaxed structure of NaCd2Re. Source: Alexandria, functional GGA-PBEsol.

The structure belongs to space group Fm-3m (No. 225); the cell edges are 6.688, 6.688 and 6.688 Å and the angles 90.00°, 90.00° and 90.00°. The distinct sites, in fractional coordinates, are Na at (0.000, 0.000, 0.000), Cd at (0.250, 0.250, 0.250) and Re at (0.000, 0.000, 0.500).

The density of states at the Fermi level comes out at 0.54 states/eV per atom. The formation enthalpy at 0 K is 0.79 eV per atom.

=====

Record 3
A relaxed structure of NaCd2Rh. Source: Alexandria, functional GGA-PBEsol.

The structure belongs to space group Fm-3m (No. 225); the cell edges are 6.577, 6.577 and 6.577 Å and the angles 90.00°, 90.00° and 90.00°. The distinct sites, in fractional coordinates, are Na at (0.000, 0.000, 0.000), Cd at (0.250, 0.250, 0.250) and Rh at (0.000, 0.000, 0.500).

The density of states at the Fermi level comes out at 0.38 states/eV per atom. The formation enthalpy at 0 K is -0.02 eV per atom.

=====

Record 4
A relaxed structure of NaCd3Rh. Source: Alexandria, functional GGA-PBEsol.

The structure belongs to space group Pm-3m (No. 221); the cell edges are 5.104, 5.104 and 5.104 Å and the angles 90.00°, 90.00° and 90.00°. The distinct sites, in fractional coordinates, are Na at (0.000, 0.000, 0.000), Cd at (0.000, 0.500, 0.500) and Rh at (0.500, 0.500, 0.500).

The density of states at the Fermi level comes out at 0.36 states/eV per atom. The formation enthalpy at 0 K is 0.08 eV per atom.